1.
A relaxed SrSc2Se4 crystal. Source: Alexandria, functional PBE.

## Properties
* ΔE_f (raw): -1799 meV/atom
* distance to the lowest polymorph of the same formula: 0.19 eV per formula unit
* M_tot: 0.00 μB per atom
* V: 351 Å³/cell

Lattice parameters (Å, degrees): 3.9882 6.7869 13.5798 90.00 90.00 107.09
Last column: nearest neighbours and their distance in Å.
Fractional positions:
Sr (0.6105, 0.2209, 0.7500)  6 Se 3.03-3.16
Sr (0.3895, 0.7791, 0.2500)  6 Se 3.03-3.16
Sc (0.1347, 0.2693, 0.4330)  6 Se 2.64-2.80
Sc (0.8653, 0.7307, 0.9330)  6 Se 2.64-2.80
Sc (0.1347, 0.2693, 0.0670)  6 Se 2.64-2.80
Sc (0.8653, 0.7307, 0.5670)  6 Se 2.64-2.80
Se (0.7686, 0.5372, 0.1111)  3 Sc 2.71-2.72
Se (0.7686, 0.5372, 0.3889)  3 Sc 2.71-2.72
Se (0.2314, 0.4628, 0.8889)  3 Sc 2.71-2.72
Se (0.2314, 0.4628, 0.6111)  3 Sc 2.71-2.72
Se (0.9342, 0.8683, 0.7500)  2 Sc 2.64
Se (0.0658, 0.1317, 0.2500)  2 Sc 2.64
Se (0.5000, 0.0000, 0.0000)  4 Sc 2.80
Se (0.5000, 0.0000, 0.5000)  4 Sc 2.80



2.
A relaxed SrSc2Se crystal. Source: Alexandria, functional PBE.

## Properties
* ΔE_f (raw): -393 meV/atom
* M_tot: 0.00 μB per atom
* V: 107 Å³/cell

Lattice parameters (Å, degrees): 6.3862 6.3862 6.3862 146.47 131.15 60.55
Last column: nearest neighbours and their distance in Å.
Fractional positions:
Sc (0.0109, 0.0109, 0.0000)  4 Se 3.24, 2 Sr 3.43, 2 Sc 3.51
Sc (0.3012, 0.8012, 0.5000)  2 Se 2.69
Se (0.4788, 0.4788, 0.0000)  2 Sc 2.69
Sr (0.7090, 0.2090, 0.5000)  2 Se 3.14, 6 Sc 3.38-3.43



3.
A relaxed SrSc2Se crystal. Source: Alexandria, functional PBE.

## Properties
* ΔE_f (raw): -594 meV/atom
* M_tot: 0.00 μB per atom
* V: 107 Å³/cell

Lattice parameters (Å, degrees): 6.4640 6.4640 5.4560 65.05 65.05 31.33
Last column: nearest neighbours and their distance in Å.
Fractional positions:
Sc (0.0511, 0.0511, 0.9489)  2 Se 2.83
Sc (0.4489, 0.4489, 0.5511)  2 Se 2.83
Se (0.7500, 0.7500, 0.7500)  4 Sc 2.83
Sr (0.2500, 0.2500, 0.2500)  4 Se 3.24, 2 Sr 3.49, 4 Sc 3.52



4.
A relaxed Sr2ScSe crystal. Source: Alexandria, functional PBE.

## Properties
* ΔE_f (raw): -350 meV/atom
* M_tot: 0.00 μB per atom
* V: 127 Å³/cell

Lattice parameters (Å, degrees): 5.8066 5.8066 3.9309 89.95 89.95 106.03
Last column: nearest neighbours and their distance in Å.
Fractional positions:
Sc (0.5000, 0.0000, 0.5000)  2 Se 3.49, 8 Sr 3.50-3.51
Se (0.0000, 0.5000, 0.5000)  2 Sc 3.49, 8 Sr 3.50-3.51
Sr (0.0000, 0.0000, 0.0000)  2 Sr 3.49, 4 Se 3.50-3.51, 4 Sc 3.50-3.51
Sr (0.5000, 0.5000, 0.0000)  2 Sr 3.49, 4 Sc 3.50-3.51, 4 Se 3.50-3.51